1.
## Zn2TcHg (PBE)

Data for a geometry-optimized Zn2TcHg structure.

a = 9.5183 Å, b = 9.5183 Å, c = 9.5183 Å
α = 17.50°, β = 17.50°, γ = 17.50°
Closest atoms and distances in Å follow each position.
Fractional coordinates of all 4 atoms:
Zn1 0.2410 0.2410 0.2410  3 Tc 2.68, 6 Zn 2.90
Zn2 0.7590 0.7590 0.7590  3 Tc 2.68, 6 Zn 2.90
Tc1 0.5000 0.5000 0.5000  6 Zn 2.68, 6 Tc 2.90
Hg1 0.0000 0.0000 0.0000  6 Hg 2.90, 6 Zn 3.09

**Energy of formation**: 250 meV/atom
**Total magnetic moment**: 0.1154 μB/atom
**SG**: No. 166

---

2.
## ZnTcHg2 (PBE)

Data for a geometry-optimized ZnTcHg2 structure.

a = 5.6135 Å, b = 5.6135 Å, c = 5.1113 Å
α = 113.87°, β = 113.87°, γ = 30.00°
Closest atoms and distances in Å follow each position.
Fractional coordinates of all 4 atoms:
Zn1 0.0000 0.0000 0.0000  2 Tc 2.67, 5 Hg 2.87-2.99, 2 Zn 2.91
Tc1 0.7076 0.7076 0.3651  2 Zn 2.67, 5 Hg 2.87-2.96, 2 Tc 2.91
Hg1 0.2330 0.2330 0.8702  3 Zn 2.87-3.05, 4 Tc 2.87-3.03, 5 Hg 2.91-3.18
Hg2 0.4574 0.4574 0.4658  5 Hg 2.91-3.18, 3 Tc 2.92-2.96, 4 Zn 2.95-2.99

**Energy of formation**: 406 meV/atom
**Total magnetic moment**: 0.0577 μB/atom
**SG**: No. 8

---

3.
## ZnTcHg2 (PBE)

Data for a geometry-optimized ZnTcHg2 structure.

a = 5.0201 Å, b = 5.0201 Å, c = 3.0513 Å
α = 90.00°, β = 90.00°, γ = 109.86°
Closest atoms and distances in Å follow each position.
Fractional coordinates of all 4 atoms:
Zn1 0.0000 0.0000 0.0000  2 Tc 2.88, 8 Hg 2.94, 2 Zn 3.05
Tc1 0.5000 0.5000 0.0000  2 Zn 2.88, 8 Hg 2.94, 2 Tc 3.05
Hg1 0.0000 0.5000 0.5000  4 Hg 2.88-3.05, 4 Tc 2.94, 4 Zn 2.94
Hg2 0.5000 0.0000 0.5000  4 Hg 2.88-3.05, 4 Tc 2.94, 4 Zn 2.94

**Energy of formation**: 427 meV/atom
**Total magnetic moment**: 0.1934 μB/atom
**SG**: No. 65

---

4.
## ZnTcHg2 (PBE)

Data for a geometry-optimized ZnTcHg2 structure.

a = 2.8860 Å, b = 4.0692 Å, c = 6.2716 Å
α = 90.00°, β = 90.00°, γ = 90.00°
Closest atoms and distances in Å follow each position.
Fractional coordinates of all 4 atoms:
Zn1 0.0000 0.0000 0.0000  5 Hg 2.72-3.04, 4 Tc 2.73, 2 Zn 2.89
Tc1 0.5000 0.5000 0.8235  4 Zn 2.73, 5 Hg 2.85-2.97, 2 Tc 2.89
Hg1 0.0000 0.0000 0.5664  1 Zn 2.72, 2 Hg 2.89, 4 Tc 2.97
Hg2 0.5000 0.5000 0.2772  1 Tc 2.85, 6 Hg 2.89-3.08, 4 Zn 3.04

**Energy of formation**: 447 meV/atom
**Total magnetic moment**: 0.0007 μB/atom
**SG**: No. 25

---

5.
## ZnTcHg2 (PBE)

Data for a geometry-optimized ZnTcHg2 structure.

a = 5.0217 Å, b = 2.9971 Å, c = 5.1453 Å
α = 90.00°, β = 110.68°, γ = 90.00°
Closest atoms and distances in Å follow each position.
Fractional coordinates of all 4 atoms:
Zn1 0.0000 0.0000 0.0000  6 Hg 2.89-2.92, 4 Tc 2.98, 2 Zn 3.00
Tc1 0.0000 0.5000 0.5000  6 Hg 2.89-2.92, 4 Zn 2.98, 2 Tc 3.00
Hg1 0.5000 0.0000 0.5000  2 Zn 2.89, 4 Tc 2.92, 6 Hg 2.98-3.00
Hg2 0.5000 0.5000 0.0000  2 Tc 2.89, 4 Zn 2.92, 6 Hg 2.98-3.00

**Energy of formation**: 429 meV/atom
**Total magnetic moment**: 0.1072 μB/atom
**SG**: No. 10

---

6.
## Zn2TcHg (PBE)

Data for a geometry-optimized Zn2TcHg structure.

a = 4.8022 Å, b = 4.8022 Å, c = 5.1691 Å
α = 98.79°, β = 98.79°, γ = 34.06°
Closest atoms and distances in Å follow each position.
Fractional coordinates of all 4 atoms:
Zn1 0.2417 0.2417 0.2148  4 Zn 2.65-2.81, 3 Tc 2.71-2.77, 3 Hg 2.85-2.94
Zn2 0.7583 0.7583 0.7852  4 Zn 2.65-2.81, 3 Tc 2.71-2.77, 3 Hg 2.85-2.94
Tc1 0.5000 0.5000 0.0000  6 Zn 2.71-2.77, 2 Tc 2.81, 4 Hg 2.94
Hg1 0.0000 0.0000 0.5000  2 Hg 2.81, 6 Zn 2.85-2.94, 4 Tc 2.94

**Energy of formation**: 274 meV/atom
**Total magnetic moment**: 0.0000 μB/atom
**SG**: No. 12

---

7.
## ZnTcHg2 (PBE)

Data for a geometry-optimized ZnTcHg2 structure.

a = 3.0561 Å, b = 3.0561 Å, c = 7.9050 Å
α = 90.00°, β = 90.00°, γ = 90.00°
Closest atoms and distances in Å follow each position.
Fractional coordinates of all 4 atoms:
Zn1 0.0000 0.0000 0.0000  8 Hg 2.93, 4 Zn 3.06
Tc1 0.0000 0.0000 0.5000  8 Hg 2.92, 4 Tc 3.06
Hg1 0.5000 0.5000 0.2507  4 Tc 2.92, 4 Zn 2.93, 4 Hg 3.06
Hg2 0.5000 0.5000 0.7493  4 Tc 2.92, 4 Zn 2.93, 4 Hg 3.06

**Energy of formation**: 523 meV/atom
**Total magnetic moment**: 0.4815 μB/atom
**SG**: No. 123

---

8.
## ZnTcHg2 (PBE)

Data for a geometry-optimized ZnTcHg2 structure.

a = 10.2560 Å, b = 10.2560 Å, c = 10.2560 Å
α = 157.50°, β = 157.50°, γ = 32.03°
Closest atoms and distances in Å follow each position.
Fractional coordinates of all 8 atoms:
Zn1 0.0000 0.0000 0.0000  4 Tc 2.83, 4 Hg 2.85
Zn2 0.7500 0.2500 0.5000  4 Tc 2.83, 4 Hg 2.85
Tc1 0.2500 0.7500 0.5000  4 Zn 2.83, 4 Hg 2.84
Tc2 0.5000 0.5000 0.0000  4 Zn 2.83, 4 Hg 2.84
Hg1 0.1280 0.6250 0.0030  4 Hg 2.81-2.85, 2 Tc 2.84, 2 Zn 2.85
Hg2 0.3750 0.3780 0.5030  4 Hg 2.81-2.85, 2 Tc 2.84, 2 Zn 2.85
Hg3 0.6220 0.1250 0.9970  4 Hg 2.81-2.85, 2 Tc 2.84, 2 Zn 2.85
Hg4 0.8750 0.8720 0.4970  4 Hg 2.81-2.85, 2 Tc 2.84, 2 Zn 2.85

**Energy of formation**: 691 meV/atom
**Total magnetic moment**: 0.0000 μB/atom
**SG**: No. 122